Record 1
Compound: PuZr2Ru
Source: the Alexandria database
Functional: GGA-PBE
Structure: optimized geometry

Cell lengths 4.832, 4.832, 4.832 Å; angles 60.00, 60.00, 60.00 degrees
Positions (direct):
Pu 0.000 0.000 0.000
Zr 0.250 0.250 0.250
Zr 0.750 0.750 0.750
Ru 0.500 0.500 0.500

Summary:
- energy relative to the elements (meV/atom) = 27
- distance to the lowest polymorph of the same formula (meV per atom) = 245
- SG = No. 225
- N(E_F) (states/eV/cell) = 13.212
- VASP energy (eV per atom) = -10.149
- magnetic moment (μB/cell) = 5.3



Record 2
Compound: PuZr2Ru
Source: the Alexandria database
Functional: GGA-PBE
Structure: optimized geometry

Cell lengths 3.250, 3.250, 7.770 Å; angles 90.00, 90.00, 90.00 degrees
Positions (direct):
Pu 0.000 0.000 0.000
Zr 0.500 0.500 0.287
Zr 0.500 0.500 0.713
Ru 0.000 0.000 0.500

Summary:
- energy relative to the elements (meV/atom) = -218
- distance to the lowest polymorph of the same formula (meV per atom) = 0
- SG = No. 123
- N(E_F) (states/eV/cell) = 5.022
- VASP energy (eV per atom) = -10.394
- magnetic moment (μB/cell) = 5.3



Among the records above, which one has the lowest distance to the lowest polymorph of the same formula? number 2